# 1
Cs3Pu2ZrTe6: relaxed, PBE.

Results
raw formation energy = -1.065 eV/atom
magnetization = 11.00 μB per cell

Unit cell a=7.835 b=7.835 c=9.288 alpha=98.09 beta=98.09 gamma=119.99
Atoms (fractional coordinates):
1 Cs 0.000 0.000 0.000
2 Cs 0.329 0.671 0.000
3 Cs 0.671 0.329 0.000
4 Pu 0.166 0.834 0.500
5 Pu 0.834 0.166 0.500
6 Zr 0.500 0.500 0.500
7 Te 0.121 0.437 0.312
8 Te 0.248 0.248 0.690
9 Te 0.437 0.121 0.312
10 Te 0.563 0.879 0.688
11 Te 0.752 0.752 0.310
12 Te 0.879 0.563 0.688



# 2
Cs3Pu3ZrTe8: relaxed, PBE.

Results
raw formation energy = -1.057 eV/atom
magnetization = 15.00 μB per cell

Unit cell a=10.472 b=10.472 c=10.472 alpha=50.63 beta=50.63 gamma=50.63
Atoms (fractional coordinates):
1 Cs 0.000 0.500 0.500
2 Cs 0.500 0.000 0.500
3 Cs 0.500 0.500 0.000
4 Pu 0.000 0.000 0.500
5 Pu 0.000 0.500 0.000
6 Pu 0.500 0.000 0.000
7 Zr 0.500 0.500 0.500
8 Te 0.230 0.230 0.230
9 Te 0.244 0.720 0.720
10 Te 0.280 0.280 0.756
11 Te 0.280 0.756 0.280
12 Te 0.720 0.244 0.720
13 Te 0.720 0.720 0.244
14 Te 0.756 0.280 0.280
15 Te 0.770 0.770 0.770



# 3
CsPuTl2: relaxed, PBE.

Results
magnetization = 17.65 μB per cell
energy of formation from the pure elements = 0.179 eV per atom

Unit cell a=3.753 b=3.753 c=34.683 alpha=90.00 beta=90.00 gamma=120.00
Atoms (fractional coordinates):
1 Cs 0.000 0.000 0.000
2 Cs 0.333 0.667 0.667
3 Cs 0.667 0.333 0.333
4 Pu 0.000 0.000 0.500
5 Pu 0.333 0.667 0.167
6 Pu 0.667 0.333 0.833
7 Tl 0.000 0.000 0.241
8 Tl 0.000 0.000 0.759
9 Tl 0.333 0.667 0.426
10 Tl 0.333 0.667 0.908
11 Tl 0.667 0.333 0.092
12 Tl 0.667 0.333 0.574



# 4
CsRb12: relaxed, PBE.

Results
magnetization = 0.00 μB per cell
energy of formation from the pure elements = 0.024 eV per atom

Unit cell a=12.464 b=12.464 c=12.464 alpha=97.78 beta=97.78 gamma=136.82
Atoms (fractional coordinates):
1 Cs 0.000 0.000 0.000
2 Rb 0.000 0.000 0.500
3 Rb 0.000 0.356 0.356
4 Rb 0.000 0.500 0.000
5 Rb 0.000 0.644 0.644
6 Rb 0.289 0.500 0.789
7 Rb 0.356 0.000 0.356
8 Rb 0.500 0.000 0.000
9 Rb 0.500 0.289 0.789
10 Rb 0.500 0.500 0.500
11 Rb 0.500 0.711 0.211
12 Rb 0.644 0.000 0.644
13 Rb 0.711 0.500 0.211



# 5
Cs7Rb: relaxed, PBE.

Results
magnetization = 0.00 μB per cell
energy of formation from the pure elements = 0.003 eV per atom

Unit cell a=10.791 b=10.791 c=10.791 alpha=60.00 beta=60.00 gamma=60.00
Atoms (fractional coordinates):
1 Cs 0.000 0.000 0.000
2 Cs 0.000 0.000 0.500
3 Cs 0.000 0.500 0.000
4 Cs 0.000 0.500 0.500
5 Cs 0.500 0.000 0.000
6 Cs 0.500 0.000 0.500
7 Cs 0.500 0.500 0.000
8 Rb 0.500 0.500 0.500



# 6
Cs5Rb24: relaxed, PBE.

Results
magnetization = 0.00 μB per cell
energy of formation from the pure elements = 0.007 eV per atom

Unit cell a=15.240 b=15.240 c=15.240 alpha=109.47 beta=109.47 gamma=109.47
Atoms (fractional coordinates):
1 Cs 0.000 0.000 0.000
2 Cs 0.000 0.000 0.364
3 Cs 0.000 0.364 0.000
4 Cs 0.364 0.000 0.000
5 Cs 0.636 0.636 0.636
6 Rb 0.000 0.320 0.596
7 Rb 0.000 0.596 0.320
8 Rb 0.000 0.623 0.809
9 Rb 0.000 0.809 0.623
10 Rb 0.187 0.377 0.377
11 Rb 0.191 0.191 0.813
12 Rb 0.191 0.813 0.191
13 Rb 0.275 0.680 0.680
14 Rb 0.320 0.000 0.596
15 Rb 0.320 0.596 0.000
16 Rb 0.377 0.187 0.377
17 Rb 0.377 0.377 0.187
18 Rb 0.404 0.404 0.725
19 Rb 0.404 0.725 0.404
20 Rb 0.596 0.000 0.320
21 Rb 0.596 0.320 0.000
22 Rb 0.623 0.000 0.809
23 Rb 0.623 0.809 0.000
24 Rb 0.680 0.275 0.680
25 Rb 0.680 0.680 0.275
26 Rb 0.725 0.404 0.404
27 Rb 0.809 0.000 0.623
28 Rb 0.809 0.623 0.000
29 Rb 0.813 0.191 0.191



# 7
CsRb5: relaxed, PBE.

Results
magnetization = 0.00 μB per cell
energy of formation from the pure elements = 0.006 eV per atom

Unit cell a=8.155 b=24.510 c=5.568 alpha=90.00 beta=90.00 gamma=90.00
Atoms (fractional coordinates):
1 Cs 0.000 0.000 0.000
2 Cs 0.500 0.500 0.000
3 Rb 0.000 0.172 0.500
4 Rb 0.000 0.336 0.000
5 Rb 0.000 0.500 0.500
6 Rb 0.000 0.664 0.000
7 Rb 0.000 0.828 0.500
8 Rb 0.500 0.000 0.500
9 Rb 0.500 0.164 0.000
10 Rb 0.500 0.328 0.500
11 Rb 0.500 0.672 0.500
12 Rb 0.500 0.836 0.000



# 8
Cs2Rb: relaxed, PBE.

Results
magnetization = 0.00 μB per cell
energy of formation from the pure elements = 0.050 eV per atom

Unit cell a=9.770 b=9.770 c=9.770 alpha=60.00 beta=60.00 gamma=60.00
Atoms (fractional coordinates):
1 Cs 0.000 0.000 0.000
2 Cs 0.000 0.000 0.500
3 Cs 0.000 0.500 0.000
4 Cs 0.500 0.000 0.000
5 Rb 0.375 0.375 0.375
6 Rb 0.625 0.625 0.625